1.
DFT (PBE-GGA) results for crystalline BaVAsPd2 at its relaxed geometry.

Values from the calculation:
For the energy, the calculation gives -17.7 eV/f.u. The size of the total moment is 0.0 μB per formula unit. The value obtained for the calculated volume is 31.9 Å³ per atom.

CIF file:
```
data_BaVAsPd2
_cell_length_a 5.236
_cell_length_b 5.236
_cell_length_c 5.821
_cell_angle_alpha 90.00
_cell_angle_beta 90.00
_cell_angle_gamma 90.00
_space_group_name_H-M_alt 'P 4/m m m'
_space_group_IT_number 123
_space_group_name_Hall '-P 4 2'
loop_
_atom_site_label
_atom_site_fract_x
_atom_site_fract_y
_atom_site_fract_z
Ba1 0.000 0.000 0.000
V1 0.500 0.500 0.500
As1 0.000 0.000 0.500
Pd1 0.000 0.500 0.000
```

---

2.
DFT (PBE-GGA) results for crystalline Cs2BaAg2F6 at its relaxed geometry.

Values from the calculation:
The uncorrected formation energy comes out at -2.346 eV per atom. The size of the total moment is 0.0 μB per formula unit. The value obtained for the calculated volume is 24.4 Å³ per atom.

CIF file:
```
data_Cs2BaAg2F6
_cell_length_a 12.472
_cell_length_b 6.791
_cell_length_c 7.275
_cell_angle_alpha 90.00
_cell_angle_beta 119.21
_cell_angle_gamma 90.00
_space_group_name_H-M_alt 'C 1 2/m 1'
_space_group_IT_number 12
_space_group_name_Hall '-C 2y'
loop_
_atom_site_label
_atom_site_fract_x
_atom_site_fract_y
_atom_site_fract_z
Cs1 0.225 0.000 0.177
Ba1 0.000 0.000 0.500
Ag1 0.067 0.500 0.227
F1 0.066 0.254 0.806
F2 0.231 0.000 0.603
```

---

3.
DFT (PBE-GGA) results for crystalline SmDyAgHg at its relaxed geometry.

Values from the calculation:
For the energy, the calculation gives -14.0 eV/f.u. The size of the total moment is 0.0 μB per formula unit. The value obtained for the calculated volume is 25.6 Å³ per atom.

CIF file:
```
data_SmDyAgHg
_cell_length_a 3.702
_cell_length_b 3.702
_cell_length_c 7.480
_cell_angle_alpha 90.00
_cell_angle_beta 90.00
_cell_angle_gamma 90.00
_space_group_name_H-M_alt 'P 4 m m'
_space_group_IT_number 99
_space_group_name_Hall 'P 4 -2'
loop_
_atom_site_label
_atom_site_fract_x
_atom_site_fract_y
_atom_site_fract_z
Sm1 0.000 0.000 0.000
Dy1 0.000 0.000 0.489
Ag1 0.500 0.500 0.257
Hg1 0.500 0.500 0.736
```

---

4.
DFT (PBE-GGA) results for crystalline BaSm4Sn4 at its relaxed geometry.

Values from the calculation:
For the energy, the calculation gives -41.8 eV/f.u. The size of the total moment is 0.0 μB per formula unit. The value obtained for the calculated volume is 37.5 Å³ per atom.

CIF file:
```
data_BaSm4Sn4
_cell_length_a 10.409
_cell_length_b 10.409
_cell_length_c 6.225
_cell_angle_alpha 90.00
_cell_angle_beta 90.00
_cell_angle_gamma 90.00
_space_group_name_H-M_alt 'P 42/n'
_space_group_IT_number 86
loop_
_space_group_symop_operation_xyz
'x,y,z'
'-x,-y,-z'
'-y,x+1/2,z+1/2'
'y,-x+1/2,-z+1/2'
'-x+1/2,-y+1/2,z'
'x+1/2,y+1/2,-z'
'y+1/2,-x,z+1/2'
'-y+1/2,x,-z+1/2'
loop_
_atom_site_label
_atom_site_fract_x
_atom_site_fract_y
_atom_site_fract_z
Ba1 0.250 0.250 0.250
Sm1 0.119 0.631 0.142
Sn1 0.070 0.577 0.658
```

---

5.
DFT (PBE-GGA) results for crystalline Be7Ir at its relaxed geometry.

Values from the calculation:
For the energy, the calculation gives -36.0 eV/f.u. The size of the total moment is 0.0 μB per formula unit. The value obtained for the calculated volume is 9.2 Å³ per atom.

CIF file:
```
data_Be7Ir
_cell_length_a 6.659
_cell_length_b 6.659
_cell_length_c 6.659
_cell_angle_alpha 90.00
_cell_angle_beta 90.00
_cell_angle_gamma 90.00
_space_group_name_H-M_alt 'F m -3 m'
_space_group_IT_number 225
_space_group_name_Hall '-F 4 2 3'
loop_
_atom_site_label
_atom_site_fract_x
_atom_site_fract_y
_atom_site_fract_z
Be1 0.000 0.000 0.000
Be2 0.000 0.250 0.250
Ir1 0.000 0.000 0.500
```

---

6.
DFT (PBE-GGA) results for crystalline Ba2NaHPb at its relaxed geometry.

Values from the calculation:
The size of the total moment is 0.0 μB per formula unit. The calculation puts the energy above the lowest structure with this stoichiometry at 0.0 kJ/mol of atoms. The value obtained for the calculated volume is 31.6 Å³ per atom.

CIF file:
```
data_Ba2NaHPb
_cell_length_a 5.642
_cell_length_b 5.642
_cell_length_c 4.970
_cell_angle_alpha 90.00
_cell_angle_beta 90.00
_cell_angle_gamma 90.00
_space_group_name_H-M_alt 'P 4/m m m'
_space_group_IT_number 123
_space_group_name_Hall '-P 4 2'
loop_
_atom_site_label
_atom_site_fract_x
_atom_site_fract_y
_atom_site_fract_z
Ba1 0.000 0.500 0.000
Na1 0.000 0.000 0.500
H1 0.000 0.000 0.000
Pb1 0.500 0.500 0.500
```

---

7.
DFT (PBE-GGA) results for crystalline LaMn2Br at its relaxed geometry.

Values from the calculation:
The uncorrected formation energy comes out at 0.482 eV per atom. The size of the total moment is 2.8 μB per formula unit. The calculation puts the energy above the lowest structure with this stoichiometry at 53.9 kJ/mol of atoms. The value obtained for the calculated volume is 21.5 Å³ per atom.

CIF file:
```
data_LaMn2Br
_cell_length_a 4.564
_cell_length_b 4.564
_cell_length_c 16.507
_cell_angle_alpha 90.00
_cell_angle_beta 90.00
_cell_angle_gamma 90.00
_space_group_name_H-M_alt 'I 41/a m d'
_space_group_IT_number 141
loop_
_space_group_symop_operation_xyz
'x,y,z'
'-x,-y,-z'
'-y+1/4,x+3/4,z+1/4'
'y+1/4,-x+3/4,-z+1/4'
'-x+1/2,-y,z+1/2'
'x+1/2,y,-z+1/2'
'y+1/4,-x+1/4,z+3/4'
'-y+1/4,x+1/4,-z+3/4'
'x,-y,-z'
'-x,y,z'
'-y+1/4,-x+1/4,-z+3/4'
'y+1/4,x+1/4,z+3/4'
'-x+1/2,y,-z+1/2'
'x+1/2,-y,z+1/2'
'y+1/4,x+3/4,-z+1/4'
'-y+1/4,-x+3/4,z+1/4'
'x+1/2,y+1/2,z+1/2'
'-x+1/2,-y+1/2,-z+1/2'
'-y+3/4,x+1/4,z+3/4'
'y+3/4,-x+1/4,-z+3/4'
'-x,-y+1/2,z'
'x,y+1/2,-z'
'y+3/4,-x+3/4,z+1/4'
'-y+3/4,x+3/4,-z+1/4'
'x+1/2,-y+1/2,-z+1/2'
'-x+1/2,y+1/2,z+1/2'
'-y+3/4,-x+3/4,-z+1/4'
'y+3/4,x+3/4,z+1/4'
'-x,y+1/2,-z'
'x,-y+1/2,z'
'y+3/4,x+1/4,-z+3/4'
'-y+3/4,-x+1/4,z+3/4'
loop_
_atom_site_label
_atom_site_fract_x
_atom_site_fract_y
_atom_site_fract_z
La1 0.000 0.250 0.375
Mn1 0.000 0.000 0.000
Br1 0.000 0.250 0.875
```

---

8.
DFT (PBE-GGA) results for crystalline ZnFe2Os at its relaxed geometry.

Values from the calculation:
For the energy, the calculation gives -29.0 eV/f.u. The size of the total moment is 4.7 μB per formula unit. The value obtained for the calculated volume is 12.9 Å³ per atom.

CIF file:
```
data_ZnFe2Os
_cell_length_a 5.217
_cell_length_b 7.578
_cell_length_c 2.608
_cell_angle_alpha 90.00
_cell_angle_beta 90.00
_cell_angle_gamma 90.00
_space_group_name_H-M_alt 'C m m m'
_space_group_IT_number 65
_space_group_name_Hall '-C 2 2'
loop_
_atom_site_label
_atom_site_fract_x
_atom_site_fract_y
_atom_site_fract_z
Zn1 0.000 0.000 0.000
Fe1 0.250 0.250 0.500
Os1 0.000 0.500 0.000
```

---

9.
DFT (PBE-GGA) results for crystalline V4SiMo at its relaxed geometry.

Values from the calculation:
The uncorrected formation energy comes out at 0.073 eV per atom. The size of the total moment is 0.0 μB per formula unit. The value obtained for the calculated volume is 14.6 Å³ per atom.

CIF file:
```
data_V4SiMo
_cell_length_a 12.144
_cell_length_b 6.326
_cell_length_c 4.820
_cell_angle_alpha 90.00
_cell_angle_beta 109.15
_cell_angle_gamma 90.00
_space_group_name_H-M_alt 'C 1 2/m 1'
_space_group_IT_number 12
_space_group_name_Hall '-C 2y'
loop_
_atom_site_label
_atom_site_fract_x
_atom_site_fract_y
_atom_site_fract_z
V1 0.000 0.187 0.000
V2 0.139 0.245 0.604
V3 0.188 0.500 0.175
Si1 0.005 0.500 0.740
Mo1 0.195 0.000 0.182
```

---

10.
DFT (PBE-GGA) results for crystalline Ba6IrS2 at its relaxed geometry.

Values from the calculation:
The uncorrected formation energy comes out at -0.904 eV per atom. The size of the total moment is 0.0 μB per formula unit. The value obtained for the calculated volume is 44.8 Å³ per atom.

CIF file:
```
data_Ba6IrS2
_cell_length_a 8.017
_cell_length_b 7.541
_cell_length_c 15.554
_cell_angle_alpha 90.00
_cell_angle_beta 121.02
_cell_angle_gamma 90.00
_space_group_name_H-M_alt 'P 1 21/c 1'
_space_group_IT_number 14
_space_group_name_Hall '-P 2ybc'
loop_
_atom_site_label
_atom_site_fract_x
_atom_site_fract_y
_atom_site_fract_z
Ba1 0.005 0.232 0.333
Ba2 0.320 0.724 0.000
Ba3 0.338 0.234 0.666
Ir1 0.000 0.000 0.500
S1 0.328 0.501 0.828
```

---

11.
DFT (PBE-GGA) results for crystalline Pm2MgI8 at its relaxed geometry.

Values from the calculation:
The uncorrected formation energy comes out at -1.171 eV per atom. The size of the total moment is 0.0 μB per formula unit. The value obtained for the calculated volume is 54.5 Å³ per atom.

CIF file:
```
data_Pm2MgI8
_cell_length_a 19.342
_cell_length_b 8.220
_cell_length_c 7.601
_cell_angle_alpha 90.00
_cell_angle_beta 96.84
_cell_angle_gamma 90.00
_space_group_name_H-M_alt 'C 1 2/m 1'
_space_group_IT_number 12
_space_group_name_Hall '-C 2y'
loop_
_atom_site_label
_atom_site_fract_x
_atom_site_fract_y
_atom_site_fract_z
Pm1 0.146 0.000 0.452
Mg1 0.000 0.000 0.000
I1 0.058 0.252 0.247
I2 0.138 0.000 0.842
I3 0.208 0.500 0.621
```

---

12.
DFT (PBE-GGA) results for crystalline RbYBr2 at its relaxed geometry.

Values from the calculation:
The uncorrected formation energy comes out at -0.828 eV per atom. The size of the total moment is 2.0 μB per formula unit. The calculation puts the energy above the lowest structure with this stoichiometry at 33.8 kJ/mol of atoms. The value obtained for the calculated volume is 30.2 Å³ per atom.

CIF file:
```
data_RbYBr2
_cell_length_a 7.844
_cell_length_b 7.844
_cell_length_c 7.844
_cell_angle_alpha 90.00
_cell_angle_beta 90.00
_cell_angle_gamma 90.00
_space_group_name_H-M_alt 'F m -3 m'
_space_group_IT_number 225
_space_group_name_Hall '-F 4 2 3'
loop_
_atom_site_label
_atom_site_fract_x
_atom_site_fract_y
_atom_site_fract_z
Rb1 0.000 0.000 0.000
Y1 0.000 0.000 0.500
Br1 0.250 0.250 0.250
```

---

13.
DFT (PBE-GGA) results for crystalline La5PmPr2Cd at its relaxed geometry.

Values from the calculation:
For the energy, the calculation gives -39.8 eV/f.u. The size of the total moment is 0.0 μB per formula unit. The value obtained for the calculated volume is 35.6 Å³ per atom.

CIF file:
```
data_La5PmPr2Cd
_cell_length_a 5.719
_cell_length_b 20.104
_cell_length_c 11.148
_cell_angle_alpha 90.00
_cell_angle_beta 90.00
_cell_angle_gamma 90.00
_space_group_name_H-M_alt 'C m c m'
_space_group_IT_number 63
_space_group_name_Hall '-C 2c 2'
loop_
_atom_site_label
_atom_site_fract_x
_atom_site_fract_y
_atom_site_fract_z
La1 0.000 0.000 0.000
La2 0.000 0.121 0.250
La3 0.000 0.211 0.551
La4 0.000 0.489 0.250
Pm1 0.000 0.309 0.250
Pr1 0.000 0.383 0.544
Cd1 0.000 0.092 0.750
```

---

14.
DFT (PBE-GGA) results for crystalline MnIn2Hg at its relaxed geometry.

Values from the calculation:
For the energy, the calculation gives -14.1 eV/f.u. The size of the total moment is 3.6 μB per formula unit. The value obtained for the calculated volume is 22.4 Å³ per atom.

CIF file:
```
data_MnIn2Hg
_cell_length_a 3.528
_cell_length_b 4.495
_cell_length_c 5.912
_cell_angle_alpha 90.00
_cell_angle_beta 107.31
_cell_angle_gamma 90.00
_space_group_name_H-M_alt 'P 1 m 1'
_space_group_IT_number 6
_space_group_name_Hall 'P -2y'
loop_
_atom_site_label
_atom_site_fract_x
_atom_site_fract_y
_atom_site_fract_z
Mn1 0.000 0.000 0.000
In1 0.423 0.500 0.853
In2 0.740 0.000 0.500
Hg1 0.145 0.500 0.307
```

---

15.
DFT (PBE-GGA) results for crystalline CeHo2Tl9 at its relaxed geometry.

Values from the calculation:
For the energy, the calculation gives -39.1 eV/f.u. The size of the total moment is 1.0 μB per formula unit. The value obtained for the calculated volume is 27.4 Å³ per atom.

CIF file:
```
data_CeHo2Tl9
_cell_length_a 4.788
_cell_length_b 4.788
_cell_length_c 14.339
_cell_angle_alpha 90.00
_cell_angle_beta 90.00
_cell_angle_gamma 90.00
_space_group_name_H-M_alt 'P 4/m m m'
_space_group_IT_number 123
_space_group_name_Hall '-P 4 2'
loop_
_atom_site_label
_atom_site_fract_x
_atom_site_fract_y
_atom_site_fract_z
Ce1 0.000 0.000 0.000
Ho1 0.000 0.000 0.335
Tl1 0.000 0.500 0.170
Tl2 0.000 0.500 0.500
Tl3 0.500 0.500 0.000
Tl4 0.500 0.500 0.334
```

---

16.
DFT (PBE-GGA) results for crystalline Sr2Sb3Rh4 at its relaxed geometry.

Values from the calculation:
The uncorrected formation energy comes out at -0.617 eV per atom. The size of the total moment is 0.0 μB per formula unit. The value obtained for the calculated volume is 21.1 Å³ per atom.

CIF file:
```
data_Sr2Sb3Rh4
_cell_length_a 6.253
_cell_length_b 16.089
_cell_length_c 7.557
_cell_angle_alpha 90.00
_cell_angle_beta 90.00
_cell_angle_gamma 90.00
_space_group_name_H-M_alt 'C m c e'
_space_group_IT_number 64
_space_group_name_Hall '-C 2ac 2'
loop_
_atom_site_label
_atom_site_fract_x
_atom_site_fract_y
_atom_site_fract_z
Sr1 0.000 0.101 0.085
Sb1 0.000 0.000 0.500
Sb2 0.250 0.236 0.750
Rh1 0.000 0.176 0.486
Rh2 0.250 0.073 0.750
```

---

17.
DFT (PBE-GGA) results for crystalline Ce3Bi3C at its relaxed geometry.

Values from the calculation:
For the energy, the calculation gives -42.1 eV/f.u. The size of the total moment is 1.2 μB per formula unit. The value obtained for the calculated volume is 28.7 Å³ per atom.

CIF file:
```
data_Ce3Bi3C
_cell_length_a 8.384
_cell_length_b 11.335
_cell_length_c 8.668
_cell_angle_alpha 90.00
_cell_angle_beta 102.34
_cell_angle_gamma 90.00
_space_group_name_H-M_alt 'C 1 2/m 1'
_space_group_IT_number 12
_space_group_name_Hall '-C 2y'
loop_
_atom_site_label
_atom_site_fract_x
_atom_site_fract_y
_atom_site_fract_z
Ce1 0.139 0.000 0.374
Ce2 0.228 0.335 0.233
Bi1 0.000 0.149 0.000
Bi2 0.000 0.300 0.500
Bi3 0.125 0.500 0.900
C1 0.149 0.000 0.645
```